Record 1
LaCu2Re: single point on PBEsol structure, meta-GGA SCAN.

Structure (extended XYZ):
```
4
Lattice="2.8388 0.0000 0.0795 0.0000 3.7204 0.0000 -0.1776 0.0000 6.3554" Properties=species:S:1:pos:R:3 pbc="T T T"
Cu 2.7160 0.0000 4.4470
Cu -0.0548 0.0000 1.9880
La 1.4194 1.8602 0.0398
Re 1.3306 1.8602 3.2175
```

Results
* energy relative to the lowest polymorph listed for this composition: 0.000 eV/atom
* energy of formation from the pure elements: 0.381 eV per atom
* crystal system: orthorhombic
* raw total energy: -1.3145 Ha/atom
* total moment: 0.000 μB per cell



Record 2
CuTe2OsAu: single point on PBEsol structure, meta-GGA SCAN.

Structure (extended XYZ):
```
5
Lattice="4.6044 0.0000 0.0000 0.0000 4.8139 0.0000 0.0000 0.0000 4.8139" Properties=species:S:1:pos:R:3 pbc="T T T"
Os 2.3022 2.4070 2.4070
Te 0.0000 0.0000 2.4070
Te 0.0000 2.4070 0.0000
Au 2.3022 0.0000 0.0000
Cu 0.0000 0.0000 0.0000
```

Results
* crystal system: tetragonal
* raw total energy: -1.6446 Ha/atom
* total moment: 1.716 μB per cell
* raw formation energy: 1.395 eV/atom



Record 3
Mg3Bi2: single point on PBEsol structure, meta-GGA SCAN.

Structure (extended XYZ):
```
40
Lattice="-1.5054 1.1080 -11.6396 -5.1993 -9.9088 3.7092 -4.8185 9.2564 5.4842" Properties=species:S:1:pos:R:3 pbc="T T T"
Mg -9.4745 -2.3166 1.8625
Mg -3.9074 -4.0764 -6.8201
Mg -7.6606 -1.7755 -6.2004
Mg -8.7086 0.2786 -1.6649
Mg -3.6345 0.5454 -6.5802
Mg -8.5983 -4.3182 -2.2564
Mg -4.7199 -2.1790 -2.6392
Mg -2.7806 -1.2856 -10.5404
Mg -4.7945 -6.8129 -3.1507
Mg -5.3354 -0.2355 1.6901
Mg -5.4927 -4.6519 1.2053
Mg -7.8045 -6.5539 -6.4122
Mg -2.0487 2.7721 -4.3087
Mg -7.6158 4.5319 4.3739
Mg -3.8626 2.2310 3.7542
Mg -2.8145 0.1769 -0.7813
Mg -7.8887 -0.0899 4.1340
Mg -2.9249 4.7737 -0.1898
Mg -6.8033 2.6345 0.1930
Mg -8.7426 1.7411 8.0942
Mg -6.7287 7.2684 0.7045
Mg -6.1877 0.6910 -4.1363
Mg -6.0305 5.1074 -3.6515
Mg -3.7187 7.0095 3.9660
Bi -3.1620 5.1822 -3.0777
Bi -3.3524 -4.4004 -3.9652
Bi -5.0089 -0.3262 4.5967
Bi 0.0000 0.0000 0.0000
Bi -4.0059 2.2976 0.8369
Bi -4.3553 -7.0243 -0.2054
Bi -7.4685 2.8106 -2.6463
Bi -9.0635 -2.6813 4.7969
Bi -6.3348 5.6837 -6.4994
Bi -3.3415 0.2802 -3.6212
Bi -7.5173 -1.8421 -3.2831
Bi -7.1678 7.4798 -2.2408
Bi -4.0546 -2.3551 0.2002
Bi -2.4597 3.1369 -7.2431
Bi -5.1884 -5.2282 4.0532
Bi -8.1817 0.1753 1.1750
```

Results
* energy relative to the lowest polymorph listed for this composition: 0.014 eV/atom
* energy of formation from the pure elements: -0.233 eV per atom
* crystal system: cubic
* raw total energy: -1.2733 Ha/atom
* total moment: 0.000 μB per cell



Record 4
InAu3O: single point on PBEsol structure, meta-GGA SCAN.

Structure (extended XYZ):
```
5
Lattice="5.1054 0.0000 0.0000 0.0000 5.1054 0.0000 0.0000 0.0000 5.1054" Properties=species:S:1:pos:R:3 pbc="T T T"
Au 0.0000 2.5527 0.0000
Au 0.0000 0.0000 2.5527
Au 2.5527 0.0000 0.0000
O 2.5527 2.5527 2.5527
In 0.0000 0.0000 0.0000
```

Results
* crystal system: cubic
* raw total energy: -1.7739 Ha/atom
* total moment: 2.048 μB per cell
* raw formation energy: 1.147 eV/atom



Record 5
Ta2MoW: single point on PBEsol structure, meta-GGA SCAN.

Structure (extended XYZ):
```
4
Lattice="2.8010 0.0000 0.0012 0.0000 4.5127 0.0000 -0.9900 0.0000 5.1895" Properties=species:S:1:pos:R:3 pbc="T T T"
Mo -0.0332 2.2563 3.8815
W 0.8848 0.0000 2.6071
Ta -0.9605 0.0000 5.1745
Ta 1.8354 2.2563 1.3125
```

Results
* energy of formation from the pure elements: -0.102 eV per atom
* crystal system: monoclinic
* raw total energy: -2.1879 Ha/atom
* total moment: 0.000 μB per cell



Record 6
CaAl2O4: single point on PBEsol structure, meta-GGA SCAN.

Structure (extended XYZ):
```
42
Lattice="8.0732 0.0000 0.0000 0.0000 8.7546 0.0000 0.0000 -4.3773 7.5817" Properties=species:S:1:pos:R:3 pbc="T T T"
Al 3.6856 1.2503 2.5925
Al 3.6856 -2.7572 5.2026
Al 3.6856 1.5069 7.3681
Al 7.7222 3.1270 4.9891
Al 7.7222 7.1345 2.3790
Al 7.7222 2.8703 0.2135
Al 4.5408 2.8800 0.1560
Al 4.5408 3.0724 5.0095
Al 4.5408 7.1795 2.4162
Al 0.5042 1.4973 7.4257
Al 0.5042 1.3049 2.5721
Al 0.5042 -2.8022 5.1655
Ca 6.1725 0.0000 5.0544
Ca 2.1359 4.3773 2.5272
Ca 5.6151 4.3773 2.5272
Ca 1.5785 0.0000 5.0544
Ca 6.1987 0.0000 0.0000
Ca 2.1621 0.0000 0.0000
O 6.1236 2.8240 0.9429
O 6.1236 3.7819 4.6645
O 6.1236 6.5260 1.9742
O 2.0870 1.5533 6.6387
O 2.0870 0.5954 2.9171
O 2.0870 -2.1487 5.6075
O 3.8758 2.8264 3.3817
O 3.8758 5.8927 3.4431
O 3.8758 4.4127 0.7569
O 7.9124 1.5509 4.2000
O 7.9124 -1.5154 4.1386
O 7.9124 -0.0355 6.8248
O 3.7447 1.4678 0.8339
O 3.7447 4.3655 5.8935
O 3.7447 7.2984 0.8542
O 7.7813 2.9094 6.7478
O 7.7813 0.0117 1.6881
O 7.7813 -2.9212 6.7274
O 4.7889 -0.0035 3.1684
O 4.7889 -1.6316 6.0005
O 4.7889 1.6351 5.9944
O 0.7523 4.3808 4.4133
O 0.7523 6.0089 1.5811
O 0.7523 2.7422 1.5873
```

Results
* energy relative to the lowest polymorph listed for this composition: 0.026 eV/atom
* crystal system: hexagonal
* raw total energy: -0.3861 Ha/atom
* total moment: 0.000 μB per cell
* raw formation energy: -3.350 eV/atom



Record 7
YMg2Cd: single point on PBEsol structure, meta-GGA SCAN.

Structure (extended XYZ):
```
4
Lattice="-3.0989 0.5440 -1.4339 0.0901 -3.1626 -1.3947 -3.4932 -2.9375 6.4352" Properties=species:S:1:pos:R:3 pbc="T T T"
Y -1.7929 -1.5076 3.3028
Mg -3.4457 -2.8975 6.3476
Mg -2.3006 -1.9788 0.0525
Cd -4.2027 -3.5783 3.5566
```

Results
* energy of formation from the pure elements: -0.216 eV per atom
* crystal system: tetragonal
* raw total energy: -0.6346 Ha/atom
* total moment: 0.417 μB per cell



Record 8
Na2ZnH4O4: single point on PBEsol structure, meta-GGA SCAN.

Structure (extended XYZ):
```
44
Lattice="-6.0588 0.9534 -0.6772 -0.0617 -4.6914 -6.0533 -1.6325 -5.9861 6.1790" Properties=species:S:1:pos:R:3 pbc="T T T"
Na -4.6499 -4.7798 2.6582
Na -6.0100 -3.7948 -3.6977
Na -3.1031 -4.9442 -3.2097
Na -1.7430 -5.9292 3.1463
Na -5.3789 -4.6644 -0.6015
Na -6.1667 -5.3114 5.5144
Na -2.3741 -5.0597 0.0500
Na -1.5863 -4.4127 -6.0659
Zn -5.1350 -1.8193 1.4120
Zn -6.0254 -7.1512 1.4700
Zn -2.6180 -7.9048 -1.9635
Zn -1.7276 -2.5729 -2.0215
H -3.1114 -3.0505 -4.4260
H -0.8986 -4.1696 2.0253
H -4.6416 -6.6736 3.8745
H -6.8544 -5.5544 -2.5767
H -5.1536 -1.1779 -2.4438
H -4.9827 -6.6768 -2.2672
H -2.5995 -8.5461 1.8924
H -2.7703 -3.0472 1.7157
H -4.5402 -7.5813 -0.5933
H -6.1994 -1.8482 -0.9363
H -3.2128 -2.1427 0.0419
H -1.5536 -7.8758 0.3848
H -4.1429 -2.8850 -1.6370
H -6.6125 -7.9684 -1.7555
H -3.6101 -6.8391 1.0855
H -1.1405 -1.7557 1.2040
O -4.0852 -3.0753 -4.6788
O -6.0067 -3.5439 1.3103
O -3.6678 -6.6488 4.1274
O -1.7464 -6.1802 -1.8618
O -5.2041 -5.8273 -2.7563
O -6.2174 -6.4388 3.3343
O -2.5489 -3.8967 2.2048
O -1.5356 -3.2852 -3.8858
O -3.2489 -1.5867 0.8716
O -1.5302 -7.3292 1.2213
O -4.5041 -8.1374 -1.4231
O -6.2228 -2.3949 -1.7727
O -4.3705 -6.3264 0.7238
O -6.2600 -0.5571 0.3551
O -3.3825 -3.3976 -1.2753
O -1.4930 -9.1670 -0.9066
```

Results
* crystal system: monoclinic
* raw total energy: -0.2540 Ha/atom
* total moment: 0.000 μB per cell